(1)
Pr6O11: relaxed, GGA-PBEsol.

Results
**Size of the total moment**: 4.0 μB/f.u.
**Space-group type**: P2_1/c, No. 14
**Energy relative to the elements, uncorrected**: -64.51 kcal/mol of atoms
**DOS at the Fermi energy**: 0.745 states/eV/atom

Cell lengths 6.8949, 11.9642, 13.2169 Å; angles 90.00, 99.90, 90.00 degrees
With the nearest neighbours (Å) after each atom.
Element x y z (fractional)
O1 0.6819 0.0048 0.5592  4 Pr 2.35-2.46
O2 0.1855 0.9874 0.0746  4 Pr 2.39-2.48
O3 0.8122 0.1734 0.4205  4 Pr 2.38-2.48
O4 0.9569 0.8225 0.8088  4 Pr 2.38-2.51
O5 0.3367 0.6689 0.4437  4 Pr 2.36-2.41
O6 0.7317 0.8312 0.0717  4 Pr 2.41-2.54
O7 0.9474 0.5200 0.8011  4 Pr 2.43-2.56
O8 0.4168 0.8323 0.3055  4 Pr 2.39-2.60
O9 0.1905 0.3374 0.0607  4 Pr 2.42-2.44
O10 0.4332 0.5022 0.3146  4 Pr 2.39-2.48
O11 0.3367 0.8311 0.9437  4 Pr 2.36-2.41
O12 0.9569 0.6775 0.3088  4 Pr 2.38-2.51
O13 0.1878 0.8266 0.5795  4 Pr 2.38-2.48
O14 0.0526 0.0200 0.6989  4 Pr 2.43-2.56
O15 0.5668 0.0022 0.1854  4 Pr 2.39-2.48
O16 0.4168 0.6677 0.8055  4 Pr 2.39-2.60
O17 0.5832 0.3323 0.1945  4 Pr 2.39-2.60
O18 0.5742 0.8381 0.6930  4 Pr 2.38-2.43
O19 0.5668 0.4978 0.6854  4 Pr 2.39-2.48
O20 0.1878 0.6734 0.0795  4 Pr 2.38-2.48
O21 0.2683 0.3312 0.4283  4 Pr 2.41-2.54
O22 0.1855 0.5125 0.5746  4 Pr 2.39-2.48
O23 0.4332 0.9978 0.8146  4 Pr 2.39-2.48
O24 0.8145 0.4874 0.4254  4 Pr 2.39-2.48
O25 0.8122 0.3266 0.9205  4 Pr 2.38-2.48
O26 0.5832 0.1677 0.6945  4 Pr 2.39-2.60
O27 0.2683 0.1688 0.9283  4 Pr 2.41-2.54
O28 0.0526 0.4800 0.1989  4 Pr 2.43-2.56
O29 0.7317 0.6688 0.5717  4 Pr 2.41-2.54
O30 0.6633 0.1689 0.0563  4 Pr 2.36-2.41
O31 0.0431 0.1775 0.1912  4 Pr 2.38-2.51
O32 0.3181 0.9952 0.4408  4 Pr 2.35-2.46
O33 0.8095 0.6626 0.9393  4 Pr 2.42-2.44
O34 0.6633 0.3311 0.5563  4 Pr 2.36-2.41
O35 0.5742 0.6619 0.1930  4 Pr 2.38-2.43
O36 0.8095 0.8374 0.4393  4 Pr 2.42-2.44
O37 0.6819 0.4952 0.0592  4 Pr 2.35-2.46
O38 0.8145 0.0126 0.9254  4 Pr 2.39-2.48
O39 0.3181 0.5048 0.9408  4 Pr 2.35-2.46
O40 0.0431 0.3225 0.6912  4 Pr 2.38-2.51
O41 0.4258 0.1619 0.3070  4 Pr 2.38-2.43
O42 0.4258 0.3381 0.8070  4 Pr 2.38-2.43
O43 0.9474 0.9800 0.3011  4 Pr 2.43-2.56
O44 0.1905 0.1626 0.5607  4 Pr 2.42-2.44
Pr1 0.3594 0.1659 0.1226  8 O 2.40-2.60
Pr2 0.8644 0.1704 0.6043  7 O 2.37-2.44
Pr3 0.8645 0.0144 0.1161  7 O 2.36-2.48
Pr4 0.8645 0.4856 0.6161  7 O 2.36-2.48
Pr5 0.1356 0.6704 0.8957  7 O 2.37-2.44
Pr6 0.4136 0.6700 0.6245  7 O 2.36-2.47
Pr7 0.8644 0.3296 0.1043  7 O 2.37-2.44
Pr8 0.3594 0.3341 0.6226  8 O 2.40-2.60
Pr9 0.3759 0.0000 0.6299  8 O 2.40-2.56
Pr10 0.4136 0.8300 0.1245  7 O 2.36-2.47
Pr11 0.8726 0.8504 0.6264  7 O 2.35-2.48
Pr12 0.1355 0.9856 0.8839  7 O 2.36-2.48
Pr13 0.1274 0.1496 0.3736  7 O 2.35-2.48
Pr14 0.6406 0.6659 0.3774  8 O 2.40-2.60
Pr15 0.5864 0.3300 0.3755  7 O 2.36-2.47
Pr16 0.6241 0.0000 0.3701  8 O 2.40-2.56
Pr17 0.1274 0.3504 0.8736  7 O 2.35-2.48
Pr18 0.1356 0.8296 0.3957  7 O 2.37-2.44
Pr19 0.6406 0.8341 0.8774  8 O 2.40-2.60
Pr20 0.6241 0.5000 0.8701  8 O 2.40-2.56
Pr21 0.5864 0.1700 0.8755  7 O 2.36-2.47
Pr22 0.1355 0.5144 0.3839  7 O 2.36-2.48
Pr23 0.3759 0.5000 0.1299  8 O 2.40-2.56
Pr24 0.8726 0.6496 0.1264  7 O 2.35-2.48

---

(2)
KBC4O8: relaxed, GGA-PBEsol.

Results
**Size of the total moment**: 0.0 μB/f.u.
**Space-group type**: Cmcm, No. 63
**Energy relative to the elements, uncorrected**: -33.82 kcal/mol of atoms
**DOS at the Fermi energy**: 0.000 states/eV/atom

Cell lengths 6.8596, 6.8596, 8.2282 Å; angles 90.00, 90.00, 106.32 degrees
With the nearest neighbours (Å) after each atom.
Element x y z (fractional)
C1 0.2820 0.5316 0.2500  2 O 1.22-1.33
C2 0.2314 0.7686 0.8434  2 O 1.22-1.33
C3 0.4684 0.7180 0.2500  2 O 1.22-1.33
C4 0.7686 0.2314 0.3434  2 O 1.22-1.33
C5 0.7180 0.4684 0.7500  2 O 1.22-1.33
C6 0.2314 0.7686 0.6566  2 O 1.22-1.33
C7 0.7686 0.2314 0.1566  2 O 1.22-1.33
C8 0.5316 0.2820 0.7500  2 O 1.22-1.33
O1 0.3466 0.6534 0.6071  1 C 1.33, 1 B 1.48
O2 0.3664 0.3469 0.7500  1 C 1.33, 1 B 1.48
O3 0.6336 0.6531 0.2500  1 C 1.33, 1 B 1.48
O4 0.8583 0.1417 0.0698  1 C 1.22
O5 0.3466 0.6534 0.8929  1 C 1.33, 1 B 1.48
O6 0.5370 0.1064 0.7500  1 C 1.22
O7 0.6534 0.3466 0.1071  1 C 1.33, 1 B 1.48
O8 0.8583 0.1417 0.4302  1 C 1.22
O9 0.1064 0.5370 0.2500  1 C 1.22
O10 0.1417 0.8583 0.5698  1 C 1.22
O11 0.3469 0.3664 0.2500  1 C 1.33, 1 B 1.48
O12 0.6534 0.3466 0.3929  1 C 1.33, 1 B 1.48
O13 0.6531 0.6336 0.7500  1 C 1.33, 1 B 1.48
O14 0.4630 0.8936 0.2500  1 C 1.22
O15 0.1417 0.8583 0.9302  1 C 1.22
O16 0.8936 0.4630 0.7500  1 C 1.22
K1 0.0712 0.9288 0.2500  8 O 2.74-3.07
K2 0.9288 0.0712 0.7500  8 O 2.74-3.07
B1 0.4278 0.5722 0.7500  4 O 1.48
B2 0.5722 0.4278 0.2500  4 O 1.48

---

(3)
LiSnN: relaxed, GGA-PBEsol.

Results
**Size of the total moment**: 0.0 μB/f.u.
**Space-group type**: Pnma, No. 62
**Energy relative to the elements, uncorrected**: -4.87 kcal/mol of atoms
**DOS at the Fermi energy**: 0.095 states/eV/atom
**Relative energy among the computed polymorphs**: 21.2 kJ/mol of formula units

Cell lengths 3.1895, 5.5336, 10.0771 Å; angles 90.00, 90.00, 90.00 degrees
With the nearest neighbours (Å) after each atom.
Element x y z (fractional)
Sn1 0.7500 0.4758 0.3636  3 N 2.20-2.22
Sn2 0.7500 0.0242 0.8636  3 N 2.20-2.22
Sn3 0.2500 0.5242 0.6364  3 N 2.20-2.22
Sn4 0.2500 0.9758 0.1364  3 N 2.20-2.22
N1 0.2500 0.2273 0.9649  3 Li 2.01-2.24, 3 Sn 2.20-2.22
N2 0.7500 0.7273 0.5351  3 Li 2.01-2.24, 3 Sn 2.20-2.22
N3 0.7500 0.7727 0.0351  3 Li 2.01-2.24, 3 Sn 2.20-2.22
N4 0.2500 0.2727 0.4649  3 Li 2.01-2.24, 3 Sn 2.20-2.22
Li1 0.7500 0.4922 0.9089  3 N 2.01-2.24
Li2 0.2500 0.9922 0.5911  3 N 2.01-2.24
Li3 0.2500 0.5078 0.0911  3 N 2.01-2.24
Li4 0.7500 0.0078 0.4089  3 N 2.01-2.24

---

(4)
CoHg3Bi: relaxed, GGA-PBEsol.

Results
**Size of the total moment**: 1.1 μB/f.u.
**Space-group type**: Pm-3m, No. 221
**DOS at the Fermi energy**: 1.309 states/eV/atom
**Formation enthalpy at 0 K**: 41.9 kJ/mol of atoms

Cell lengths 4.9082, 4.9082, 4.9082 Å; angles 90.00, 90.00, 90.00 degrees
With the nearest neighbours (Å) after each atom.
Element x y z (fractional)
Bi1 0.5000 0.5000 0.5000  12 Hg 3.47
Co1 0.0000 0.0000 0.0000  6 Hg 2.45
Hg1 0.0000 0.5000 0.0000  2 Co 2.45
Hg2 0.5000 0.0000 0.0000  2 Co 2.45
Hg3 0.0000 0.0000 0.5000  2 Co 2.45

---

(5)
ZnWO4: relaxed, GGA-PBEsol.

Results
**Size of the total moment**: 0.0 μB/f.u.
**Space-group type**: C2/c, No. 15
**Energy relative to the elements, uncorrected**: -43.20 kcal/mol of atoms
**DOS at the Fermi energy**: 0.000 states/eV/atom
**Relative energy among the computed polymorphs**: 30.3 kJ/mol of formula units

Cell lengths 4.7813, 4.8215, 7.2883 Å; angles 107.27, 107.09, 95.94 degrees
With the nearest neighbours (Å) after each atom.
Element x y z (fractional)
O1 0.8805 0.5935 0.6630  1 W 1.79, 1 Zn 1.94
O2 0.9182 0.1776 0.9134  1 W 1.91, 1 Zn 1.99
O3 0.0818 0.8224 0.0866  1 W 1.91, 1 Zn 1.99
O4 0.4952 0.7358 0.9134  1 W 1.91, 1 Zn 1.99
O5 0.7175 0.9305 0.3370  1 W 1.79, 1 Zn 1.94
O6 0.5048 0.2642 0.0866  1 W 1.91, 1 Zn 1.99
O7 0.1195 0.4065 0.3370  1 W 1.79, 1 Zn 1.94
O8 0.2825 0.0695 0.6630  1 W 1.79, 1 Zn 1.94
Zn1 0.6364 0.3864 0.7728  4 O 1.94-1.99
Zn2 0.3636 0.6136 0.2272  4 O 1.94-1.99
W1 0.1646 0.9146 0.8292  4 O 1.79-1.91
W2 0.8354 0.0854 0.1708  4 O 1.79-1.91

---

(6)
SmPdN3: relaxed, GGA-PBEsol.

Results
**Size of the total moment**: 0.0 μB/f.u.
**Space-group type**: C2/m, No. 12
**Energy relative to the elements, uncorrected**: -10.64 kcal/mol of atoms

Cell lengths 3.6757, 6.1597, 8.1663 Å; angles 107.34, 90.00, 107.36 degrees
With the nearest neighbours (Å) after each atom.
Element x y z (fractional)
N1 0.3829 0.7657 0.5276  1 N 1.15
N2 0.6171 0.2343 0.4724  1 N 1.15
N3 0.3334 0.6668 0.9567  1 Pd 1.91
N4 0.3668 0.7336 0.3814  1 N 1.15
N5 0.6666 0.3332 0.0433  1 Pd 1.91
N6 0.6332 0.2664 0.6186  1 N 1.15
Sm1 0.1257 0.2513 0.8765  3 N 2.25-2.32
Sm2 0.8743 0.7487 0.1235  3 N 2.25-2.32
Pd1 0.3779 0.7558 0.7503  2 N 1.84-1.91
Pd2 0.6221 0.2442 0.2497  2 N 1.84-1.91

---

(7)
TcO2: relaxed, GGA-PBEsol.

Results
**Size of the total moment**: 0.0 μB/f.u.
**Space-group type**: P4_2/mnm, No. 136
**Energy relative to the elements, uncorrected**: -34.56 kcal/mol of atoms
**DOS at the Fermi energy**: 0.624 states/eV/atom
**Relative energy among the computed polymorphs**: 13.5 kJ/mol of formula units

Cell lengths 2.7221, 4.7795, 4.7795 Å; angles 90.00, 90.00, 90.00 degrees
With the nearest neighbours (Å) after each atom.
Element x y z (fractional)
Tc1 0.0000 0.5000 0.5000  6 O 1.92-2.00
Tc2 0.5000 0.0000 0.0000  6 O 1.92-2.00
O1 0.0000 0.7840 0.7840  3 Tc 1.92-2.00
O2 0.5000 0.2840 0.7160  3 Tc 1.92-2.00
O3 0.0000 0.2160 0.2160  3 Tc 1.92-2.00
O4 0.5000 0.7160 0.2840  3 Tc 1.92-2.00

---

(8)
CoPb: relaxed, GGA-PBEsol.

Results
**Size of the total moment**: 1.5 μB/f.u.
**Space-group type**: P-3m1, No. 164
**DOS at the Fermi energy**: 0.954 states/eV/atom
**Formation enthalpy at 0 K**: 46.9 kJ/mol of atoms

Cell lengths 3.4777, 3.4777, 7.7871 Å; angles 90.00, 90.00, 120.00 degrees
With the nearest neighbours (Å) after each atom.
Element x y z (fractional)
Co1 0.6667 0.3333 0.9399  3 Co 2.22
Co2 0.3333 0.6667 0.0601  3 Co 2.22
Pb1 0.3333 0.6667 0.6889  4 Co 2.80-2.89
Pb2 0.6667 0.3333 0.3111  4 Co 2.80-2.89

---

(9)
TaHg2Pt2: relaxed, GGA-PBEsol.

Results
**Size of the total moment**: 0.0 μB/f.u.
**Space-group type**: I4/mmm, No. 139
**DOS at the Fermi energy**: 0.525 states/eV/atom
**Formation enthalpy at 0 K**: 24.1 kJ/mol of atoms

Cell lengths 3.6895, 3.6895, 7.4230 Å; angles 104.39, 104.39, 90.00 degrees
With the nearest neighbours (Å) after each atom.
Element x y z (fractional)
Pt1 0.5906 0.5906 0.1813  1 Pt 2.52
Pt2 0.4094 0.4094 0.8187  1 Pt 2.52
Ta1 0.0000 0.0000 0.0000  8 Pt 2.90
Hg1 0.7500 0.2500 0.5000  4 Hg 2.61, 4 Pt 2.88
Hg2 0.2500 0.7500 0.5000  4 Hg 2.61, 4 Pt 2.88

---

(10)
ZnCrCl2: relaxed, GGA-PBEsol.

Results
**Size of the total moment**: 4.5 μB/f.u.
**Space-group type**: P4/mmm, No. 123
**Energy relative to the elements, uncorrected**: 1.51 kcal/mol of atoms
**DOS at the Fermi energy**: 0.783 states/eV/atom

Cell lengths 3.3695, 4.6109, 4.6109 Å; angles 90.00, 90.00, 90.00 degrees
With the nearest neighbours (Å) after each atom.
Element x y z (fractional)
Cl1 0.0000 0.0000 0.5000  4 Cr 2.86, 4 Zn 2.86
Cl2 0.0000 0.5000 0.0000  4 Cr 2.86, 4 Zn 2.86
Zn1 0.5000 0.0000 0.0000  8 Cl 2.86
Cr1 0.5000 0.5000 0.5000  8 Cl 2.86

---

(11)
Zr2TcTe: relaxed, GGA-PBEsol.

Results
**Size of the total moment**: 0.0 μB/f.u.
**Space-group type**: Immm, No. 71
**Energy relative to the elements, uncorrected**: -6.69 kcal/mol of atoms
**DOS at the Fermi energy**: 0.862 states/eV/atom

Cell lengths 3.8869, 4.7103, 5.1824 Å; angles 117.03, 112.02, 90.00 degrees
With the nearest neighbours (Å) after each atom.
Element x y z (fractional)
Zr1 0.7312 0.7312 0.4624  2 Tc 2.74, 4 Te 2.97-3.05, 4 Zr 3.07
Zr2 0.2688 0.2688 0.5376  2 Tc 2.74, 4 Te 2.97-3.05, 4 Zr 3.07
Tc1 0.0000 0.5000 0.0000  4 Zr 2.74, 4 Te 3.05
Te1 0.5000 0.0000 0.0000  8 Zr 2.97-3.05, 4 Tc 3.05

---

(12)
BaZnAg: relaxed, GGA-PBEsol.

Results
**Size of the total moment**: 0.0 μB/f.u.
**Space-group type**: F-43m, No. 216
**DOS at the Fermi energy**: 0.631 states/eV/atom
**Formation enthalpy at 0 K**: 32.5 kJ/mol of atoms

Cell lengths 5.2962, 5.2962, 5.2962 Å; angles 60.00, 60.00, 60.00 degrees
With the nearest neighbours (Å) after each atom.
Element x y z (fractional)
Ag1 0.5000 0.5000 0.5000  4 Ba 3.24
Zn1 0.0000 0.0000 0.0000  4 Ba 3.24
Ba1 0.7500 0.7500 0.7500  4 Zn 3.24, 4 Ag 3.24

---

no.,raw total energy (eV per cell)
1,-545.6
2,-218.5
3,-61.5
4,-11.6
5,-95.3
6,-77.9
7,-52.5
8,-21.5
9,-26.4
10,-15.6
11,-34.1
12,-6.0